DFT (PBE) results for KAuCl after structural relaxation.

The value obtained for the volume is 405.32 Å³ per cell. The value obtained for the spin magnetization is 0.00 μB per cell. As for the excess energy over the best structure of this formula in the dataset: 378.0 meV per atom. As for the uncorrected formation energy: -0.310 eV per atom.

It has space group F-43m (No. 216), with a = 7.401 Å, b = 7.401 Å, c = 7.401 Å, α = 90.00°, β = 90.00° and γ = 90.00°. Symmetry generates all atoms from K at (0.000, 0.000, 0.000), Au at (0.250, 0.250, 0.250) and Cl at (0.250, 0.250, 0.750).